{"formula": "Hf", "functional": "PBE", "state": "relaxed", "de_polymorph_mev_per_atom": 174, "formation_energy_mev_per_atom": 174.1, "space_group": "Im-3m (229)", "lattice": [[3.064, 0.000, 0.000], [-1.021, 2.889, 0.000], [-1.021, -1.445, 2.502]], "species": ["Hf"], "fractional_positions": [[0.000, 0.000, 0.000]]}

***

{"formula": "Hf4Hg", "functional": "PBE", "state": "relaxed", "de_polymorph_mev_per_atom": 0, "formation_energy_mev_per_atom": 139.4, "space_group": "Imma (74)", "lattice": [[4.607, 0.000, -1.346], [-0.679, 5.585, -2.325], [-0.058, 0.156, 8.361]], "species": ["Hf", "Hf", "Hf", "Hf", "Hf", "Hf", "Hf", "Hf", "Hg", "Hg"], "fractional_positions": [[0.895, 0.645, 0.789], [0.500, 0.500, 0.000], [0.697, 0.692, 0.394], [0.500, 0.000, 0.000], [0.303, 0.308, 0.606], [0.303, 0.799, 0.606], [0.105, 0.355, 0.211], [0.697, 0.201, 0.394], [0.105, 0.855, 0.210], [0.895, 0.145, 0.790]]}

***

{"formula": "Hf3Hg5", "functional": "PBE", "state": "relaxed", "formation_energy_mev_per_atom": 9.8, "space_group": "P4/mmm (123)", "lattice": [[3.200, 0.000, 0.000], [0.000, 3.200, 0.000], [0.000, 0.000, 16.745]], "species": ["Hg", "Hg", "Hg", "Hg", "Hg", "Hf", "Hf", "Hf"], "fractional_positions": [[0.000, 0.000, 0.246], [0.000, 0.000, 0.000], [0.500, 0.500, 0.622], [0.000, 0.000, 0.754], [0.500, 0.500, 0.378], [0.500, 0.500, 0.124], [0.000, 0.000, 0.500], [0.500, 0.500, 0.876]]}

***

| no. | DOS at the Fermi energy (states/eV/cell) |
| --- | --- |
| 1 | 1.561 |
| 2 | 13.613 |
| 3 | 7.327 |